# Sr3Ga2Sn2Pd4

A relaxed Sr3Ga2Sn2Pd4 crystal (PBE, Alexandria via LeMat-Bulk).

Unit cell a=4.510 b=4.510 c=15.884 alpha=90.00 beta=90.00 gamma=120.00
Element x y z (fractional)
Sr  0.000  0.000  0.731
Sr  0.000  0.000  0.000
Sr  0.000  0.000  0.269
Ga  0.667  0.333  0.863
Ga  0.333  0.667  0.137
Sn  0.667  0.333  0.429
Sn  0.333  0.667  0.571
Pd  0.667  0.333  0.131
Pd  0.333  0.667  0.869
Pd  0.667  0.333  0.602
Pd  0.333  0.667  0.398

ΔH_f (0 K): -0.60 eV per atom
Final energy: -4.222 eV/atom